The following is a DFT calculation (PBE) of a relaxed structure of Sr7Au5.

Cell and atoms, written as POSCAR:
```
Sr7Au5
1.0
7.448 -2.193 0.000
7.448 2.193 0.000
-3.541 0.000 13.101
Sr Au
7 5
direct
0.000 0.000 0.000
0.156 0.156 0.548
0.243 0.243 0.856
0.462 0.462 0.716
0.538 0.538 0.284
0.757 0.757 0.144
0.844 0.844 0.452
0.201 0.201 0.310
0.383 0.383 0.077
0.500 0.500 0.500
0.617 0.617 0.923
0.799 0.799 0.690
```

**Space group**: No. 12
**DFT formation energy**: -7.87 eV/f.u.
**Total moment**: 0.00 μB per cell